The following is a DFT calculation (PBE-GGA) of an optimized crystal structure of CuGe3Te4.

## Properties
D(E_F)	7.52	states/eV/cell
ΔE_f (raw)	-0.022	eV/atom

Cell: 11.3580 6.0125 6.2968 Å, 90.00 90.00 90.00°
With the nearest neighbours (Å) after each atom.
Space group Pmn2_1 (No. 31)
One atom of each set of equivalent atoms:
Cu (0.0000, 0.1934, 0.0000) [2 per cell]  4 Te 2.58-2.73
Ge (0.0000, 0.7734, 0.4604) [2 per cell]  4 Te 2.80-3.06
Ge (0.2491, 0.2774, 0.4738) [4 per cell]  4 Te 2.77-2.90
Te (0.0000, 0.2455, 0.4068) [2 per cell]  1 Cu 2.58, 3 Ge 2.86-2.87
Te (0.0000, 0.7694, 0.9045) [2 per cell]  1 Cu 2.62, 3 Ge 2.80-2.90
Te (0.2328, 0.2599, 0.9131) [4 per cell]  1 Cu 2.73, 3 Ge 2.77-3.06

The following is a DFT calculation (PBE-GGA) of an optimized crystal structure of Na2Zr2CoSe6.

## Properties
D(E_F)	5.65	states/eV/cell
ΔE_f (raw)	-1.033	eV/atom

Cell: 6.5220 11.3029 7.5137 Å, 90.00 107.13 90.00°
With the nearest neighbours (Å) after each atom.
Space group C2/m (No. 12)
One atom of each set of equivalent atoms:
Na (0.0000, 0.1700, 0.0000) [4 per cell]  6 Se 2.99-3.03
Zr (0.0000, 0.3297, 0.5000) [4 per cell]  6 Se 2.68-2.73
Co (0.0000, 0.0000, 0.5000) [2 per cell]  6 Se 2.47-2.59
Se (0.2354, 0.0000, 0.2964) [4 per cell]  1 Co 2.47, 2 Zr 2.73
Se (0.2384, 0.1567, 0.7156) [8 per cell]  1 Co 2.59, 2 Zr 2.68-2.72

The following is a DFT calculation (PBE-GGA) of an optimized crystal structure of SrMo2Pt.

## Properties
distance to the lowest polymorph of the same formula	0.332	eV per atom
calculated formation energy	542	meV per atom
D(E_F)	3.32	states/eV/cell

Cell: 2.9887 4.4268 6.6477 Å, 90.00 90.00 90.00°
With the nearest neighbours (Å) after each atom.
Space group Pmmm (No. 47)
One atom of each set of equivalent atoms:
Sr (0.0000, 0.0000, 0.0000) [1 per cell]  2 Sr 2.99, 2 Pt 3.32
Mo (0.5000, 0.5000, 0.3381) [2 per cell]  1 Mo 2.15
Pt (0.0000, 0.0000, 0.5000) [1 per cell]  8 Mo 2.88, 2 Pt 2.99